Entry 1:
Density functional theory data (GGA-PBE) for YSc2Te after structural relaxation.

Cell: 4.656 6.130 6.130 Å, 36.30 90.00 90.00°
Fractional positions:
Y: 0.000 0.000 0.000
Sc: 0.000 0.268 0.268
Sc: 0.500 0.694 0.694
Te: 0.500 0.417 0.417

Output
As for the density of states at the Fermi level: 0.604 states/eV/atom. The space group is Amm2 (38). As for the formation energy from raw total energies: -0.544 eV/atom.

---

Entry 2:
Density functional theory data (GGA-PBE) for As2PRh after structural relaxation.

Cell: 3.920 3.920 4.284 Å, 90.00 90.00 90.00°
Fractional positions:
As: 0.000 0.500 0.000
As: 0.500 0.000 0.000
P: 0.000 0.000 0.500
Rh: 0.500 0.500 0.500

Output
As for the density of states at the Fermi level: 0.400 states/eV/atom. The space group is P4/mmm (123). Its energy of formation from the pure elements is 0.34 eV/atom.

---

Entry 3:
Density functional theory data (GGA-PBE) for LaHo2MgIn4 after structural relaxation.

Cell: 9.490 9.490 9.490 Å, 32.24 32.24 32.24°
Fractional positions:
La: 0.000 0.000 0.000
Ho: 0.245 0.245 0.245
Ho: 0.755 0.755 0.755
Mg: 0.500 0.500 0.500
In: 0.127 0.127 0.127
In: 0.380 0.380 0.380
In: 0.620 0.620 0.620
In: 0.873 0.873 0.873

Output
As for the density of states at the Fermi level: 0.617 states/eV/atom. The space group is R-3m (166). Its energy of formation from the pure elements is -0.38 eV/atom.

---

Entry 4:
Density functional theory data (GGA-PBE) for CeNd2Si3Ir4 after structural relaxation.

Cell: 4.210 4.210 10.837 Å, 90.00 90.00 90.00°
Fractional positions:
Ce: 0.000 0.000 0.000
Nd: 0.000 0.500 0.728
Nd: 0.500 0.000 0.272
Si: 0.000 0.500 0.381
Si: 0.500 0.000 0.619
Si: 0.500 0.500 0.000
Ir: 0.000 0.000 0.500
Ir: 0.000 0.500 0.157
Ir: 0.500 0.000 0.843
Ir: 0.500 0.500 0.500

Output
As for the density of states at the Fermi level: 0.576 states/eV/atom. The space group is P-4m2 (115). As for the formation energy from raw total energies: -0.907 eV/atom.

---

Entry 5:
Density functional theory data (GGA-PBE) for Sb2Au2I after structural relaxation.

Cell: 8.499 8.499 3.564 Å, 90.00 90.00 90.00°
Fractional positions:
Sb: 0.191 0.309 0.000
Sb: 0.309 0.809 0.000
Sb: 0.691 0.191 0.000
Sb: 0.809 0.691 0.000
Au: 0.117 0.617 0.500
Au: 0.383 0.117 0.500
Au: 0.617 0.883 0.500
Au: 0.883 0.383 0.500
I: 0.000 0.000 0.000
I: 0.500 0.500 0.000

Output
The offset from the most stable computed form comes out at 165 meV per atom. As for the density of states at the Fermi level: 0.685 states/eV/atom. The space group is P4/mbm (127). As for the formation energy from raw total energies: 0.157 eV/atom.

---

Entry 6:
Density functional theory data (GGA-PBE) for TbNdGa2Pd2 after structural relaxation.

Cell: 4.534 4.534 7.056 Å, 90.00 90.00 120.00°
Fractional positions:
Tb: 0.000 0.000 0.000
Nd: 0.000 0.000 0.500
Ga: 0.333 0.667 0.766
Ga: 0.667 0.333 0.234
Pd: 0.333 0.667 0.231
Pd: 0.667 0.333 0.769

Output
As for the density of states at the Fermi level: 0.696 states/eV/atom. The space group is P-3m1 (164). Its energy of formation from the pure elements is -0.83 eV/atom.

---

Repeat the third record exactly.
Density functional theory data (GGA-PBE) for LaHo2MgIn4 after structural relaxation.

Cell: 9.490 9.490 9.490 Å, 32.24 32.24 32.24°
Fractional positions:
La: 0.000 0.000 0.000
Ho: 0.245 0.245 0.245
Ho: 0.755 0.755 0.755
Mg: 0.500 0.500 0.500
In: 0.127 0.127 0.127
In: 0.380 0.380 0.380
In: 0.620 0.620 0.620
In: 0.873 0.873 0.873

Output
As for the density of states at the Fermi level: 0.617 states/eV/atom. The space group is R-3m (166). Its energy of formation from the pure elements is -0.38 eV/atom.